[1]
Here is crystalline Ta2Cd2Se at its relaxed geometry from Alexandria via LeMat-Bulk. Energies are from PBE.

a b c (Å): 8.8227 8.8227 2.8238
angles (deg): 90.00 90.00 90.00
Fractional coordinates of all 10 atoms:
Ta 0.1061 0.3939 0.0000
Ta 0.3939 0.8939 0.0000
Ta 0.6061 0.1061 0.0000
Ta 0.8939 0.6061 0.0000
Cd 0.1862 0.6862 0.5000
Cd 0.3138 0.1862 0.5000
Cd 0.6862 0.8138 0.5000
Cd 0.8138 0.3138 0.5000
Se 0.0000 0.0000 0.5000
Se 0.5000 0.5000 0.5000

Relative energy among the computed polymorphs ... 0.140 eV per atom
Mass density ... 10.06 Mg/m³

=====

[2]
Here is crystalline TaCd3Se at its relaxed geometry from Alexandria via LeMat-Bulk. Energies are from PBE.

a b c (Å): 5.2045 5.2045 5.2045
angles (deg): 90.00 90.00 90.00
Fractional coordinates of all 5 atoms:
Ta 0.0000 0.0000 0.0000
Cd 0.0000 0.5000 0.5000
Cd 0.5000 0.0000 0.5000
Cd 0.5000 0.5000 0.0000
Se 0.5000 0.5000 0.5000

Relative energy among the computed polymorphs ... 0.042 eV per atom
Mass density ... 7.03 Mg/m³

=====

[3]
Here is crystalline TaCd2Se at its relaxed geometry from Alexandria via LeMat-Bulk. Energies are from PBE.

a b c (Å): 3.0007 3.0007 11.0689
angles (deg): 90.00 90.00 112.40
Fractional coordinates of all 4 atoms:
Ta 0.0000 0.0000 0.0000
Cd 0.0000 0.0000 0.5220
Cd 0.5000 0.5000 0.7756
Se 0.5000 0.5000 0.1754

Mass density ... 8.74 Mg/m³

=====

[4]
Here is crystalline Ta2CdSe at its relaxed geometry from Alexandria via LeMat-Bulk. Energies are from PBE.

a b c (Å): 3.0813 4.3427 5.7993
angles (deg): 90.00 101.87 90.00
Fractional coordinates of all 4 atoms:
Ta 0.0586 0.0000 0.2610
Ta 0.9414 0.0000 0.7390
Cd 0.5000 0.5000 0.0000
Se 0.0000 0.5000 0.5000

Relative energy among the computed polymorphs ... 0.227 eV per atom
Mass density ... 12.10 Mg/m³

=====

[5]
Here is crystalline Ta2CdSe at its relaxed geometry from Alexandria via LeMat-Bulk. Energies are from PBE.

a b c (Å): 5.7215 5.7215 5.7215
angles (deg): 147.59 130.76 60.19
Fractional coordinates of all 4 atoms:
Ta 0.0000 0.0000 0.0000
Ta 0.7457 0.2457 0.5000
Cd 0.2736 0.7736 0.5000
Se 0.5411 0.5411 0.0000

Relative energy among the computed polymorphs ... 0.216 eV per atom
Mass density ... 12.19 Mg/m³

=====

[6]
Here is crystalline TaCd2Se at its relaxed geometry from Alexandria via LeMat-Bulk. Energies are from PBE.

a b c (Å): 6.2923 6.2923 6.2923
angles (deg): 100.44 100.44 129.61
Fractional coordinates of all 8 atoms:
Ta 0.0000 0.0000 0.0000
Ta 0.7500 0.2500 0.5000
Cd 0.1328 0.1250 0.5078
Cd 0.3750 0.8672 0.9922
Cd 0.6172 0.6250 0.4922
Cd 0.8750 0.3828 0.0078
Se 0.2500 0.7500 0.5000
Se 0.5000 0.5000 0.0000

Mass density ... 9.27 Mg/m³

=====

[7]
Here is crystalline TaCd2Se at its relaxed geometry from Alexandria via LeMat-Bulk. Energies are from PBE.

a b c (Å): 3.2495 3.2495 7.9886
angles (deg): 90.00 90.00 90.00
Fractional coordinates of all 4 atoms:
Ta 0.0000 0.0000 0.0000
Cd 0.0000 0.0000 0.5224
Cd 0.5000 0.5000 0.2583
Se 0.5000 0.5000 0.8377

Mass density ... 9.54 Mg/m³

=====

[8]
Here is crystalline Ta2CdSe at its relaxed geometry from Alexandria via LeMat-Bulk. Energies are from PBE.

a b c (Å): 3.3174 4.7298 4.8368
angles (deg): 90.00 90.00 90.00
Fractional coordinates of all 4 atoms:
Ta 0.0000 0.0000 0.0000
Ta 0.5000 0.0000 0.5000
Cd 0.0000 0.5000 0.5000
Se 0.5000 0.5000 0.0000

Relative energy among the computed polymorphs ... 0.346 eV per atom
Mass density ... 12.11 Mg/m³

=====

[9]
Here is crystalline Ta3CdSe at its relaxed geometry from Alexandria via LeMat-Bulk. Energies are from PBE.

a b c (Å): 4.7523 4.7523 4.7523
angles (deg): 90.00 90.00 90.00
Fractional coordinates of all 5 atoms:
Ta 0.0000 0.0000 0.5000
Ta 0.0000 0.5000 0.0000
Ta 0.5000 0.0000 0.0000
Cd 0.5000 0.5000 0.5000
Se 0.0000 0.0000 0.0000

Relative energy among the computed polymorphs ... 0.000 eV per atom
Mass density ... 11.36 Mg/m³

=====

[10]
Here is crystalline Ta2CdSe at its relaxed geometry from Alexandria via LeMat-Bulk. Energies are from PBE.

a b c (Å): 2.9941 2.9941 9.0784
angles (deg): 90.00 90.00 112.28
Fractional coordinates of all 4 atoms:
Ta 0.0000 0.0000 0.2255
Ta 0.0000 0.0000 0.7745
Cd 0.5000 0.5000 0.5000
Se 0.5000 0.5000 0.0000

Relative energy among the computed polymorphs ... 0.296 eV per atom
Mass density ... 12.20 Mg/m³

=====

[11]
Here is crystalline TaCd2Se at its relaxed geometry from Alexandria via LeMat-Bulk. Energies are from PBE.

a b c (Å): 5.3100 5.3100 5.3100
angles (deg): 132.49 132.49 69.45
Fractional coordinates of all 4 atoms:
Ta 0.0000 0.0000 0.0000
Cd 0.2500 0.7500 0.5000
Cd 0.5000 0.5000 0.0000
Se 0.7500 0.2500 0.5000

Mass density ... 10.08 Mg/m³

=====

[12]
Here is crystalline TaCd2Se at its relaxed geometry from Alexandria via LeMat-Bulk. Energies are from PBE.

a b c (Å): 3.1505 4.5379 5.7316
angles (deg): 90.00 90.00 90.00
Fractional coordinates of all 4 atoms:
Ta 0.0000 0.0000 0.0000
Cd 0.0000 0.5000 0.5000
Cd 0.5000 0.0000 0.5000
Se 0.5000 0.5000 0.0000

Mass density ... 9.82 Mg/m³

=====

[13]
Here is crystalline Ta2CdSe at its relaxed geometry from Alexandria via LeMat-Bulk. Energies are from PBE.

a b c (Å): 5.3561 5.3561 5.3561
angles (deg): 135.32 135.32 65.03
Fractional coordinates of all 4 atoms:
Ta 0.0000 0.0000 0.0000
Ta 0.7500 0.2500 0.5000
Cd 0.2500 0.7500 0.5000
Se 0.5000 0.5000 0.0000

Relative energy among the computed polymorphs ... 0.489 eV per atom
Mass density ... 12.27 Mg/m³

=====

[14]
Here is crystalline Ta2CdSe at its relaxed geometry from Alexandria via LeMat-Bulk. Energies are from PBE.

a b c (Å): 9.1484 9.1484 9.1484
angles (deg): 19.51 19.51 19.51
Fractional coordinates of all 4 atoms:
Ta 0.2414 0.2414 0.2414
Ta 0.7586 0.7586 0.7586
Cd 0.0000 0.0000 0.0000
Se 0.5000 0.5000 0.5000

Relative energy among the computed polymorphs ... 0.128 eV per atom
Mass density ... 12.30 Mg/m³

=====

[15]
Here is crystalline Ta3CdSe at its relaxed geometry from Alexandria via LeMat-Bulk. Energies are from PBE.

a b c (Å): 4.9934 4.9934 4.9934
angles (deg): 90.00 90.00 90.00
Fractional coordinates of all 5 atoms:
Ta 0.0000 0.0000 0.5000
Ta 0.0000 0.5000 0.0000
Ta 0.5000 0.0000 0.0000
Cd 0.0000 0.0000 0.0000
Se 0.5000 0.5000 0.5000

Relative energy among the computed polymorphs ... 1.300 eV per atom
Mass density ... 9.79 Mg/m³

=====

[16]
Here is crystalline Ta2CdSe at its relaxed geometry from Alexandria via LeMat-Bulk. Energies are from PBE.

a b c (Å): 3.1098 3.1098 7.4809
angles (deg): 90.00 90.00 90.00
Fractional coordinates of all 4 atoms:
Ta 0.0000 0.0000 0.2157
Ta 0.0000 0.0000 0.7843
Cd 0.5000 0.5000 0.5000
Se 0.5000 0.5000 0.0000

Relative energy among the computed polymorphs ... 0.076 eV per atom
Mass density ... 12.70 Mg/m³

=====

[17]
Here is crystalline TaCd3Se at its relaxed geometry from Alexandria via LeMat-Bulk. Energies are from PBE.

a b c (Å): 5.4420 5.4420 5.4420
angles (deg): 90.00 90.00 90.00
Fractional coordinates of all 5 atoms:
Ta 0.0000 0.0000 0.0000
Cd 0.0000 0.0000 0.5000
Cd 0.0000 0.5000 0.0000
Cd 0.5000 0.0000 0.0000
Se 0.5000 0.5000 0.5000

Relative energy among the computed polymorphs ... 0.000 eV per atom
Mass density ... 6.15 Mg/m³

=====

[18]
Here is crystalline Ta2CdSe at its relaxed geometry from Alexandria via LeMat-Bulk. Energies are from PBE.

a b c (Å): 4.7903 5.5448 5.5448
angles (deg): 32.22 90.00 90.00
Fractional coordinates of all 4 atoms:
Ta 0.0000 0.0000 0.0000
Ta 0.5000 0.3748 0.3748
Cd 0.5000 0.6359 0.6359
Se 0.0000 0.3000 0.3000

Relative energy among the computed polymorphs ... 0.139 eV per atom
Mass density ... 11.70 Mg/m³

=====

[19]
Here is crystalline Ta2CdSe at its relaxed geometry from Alexandria via LeMat-Bulk. Energies are from PBE.

a b c (Å): 3.3537 3.3537 7.3993
angles (deg): 90.00 90.00 90.00
Fractional coordinates of all 4 atoms:
Ta 0.0000 0.0000 0.0000
Ta 0.5000 0.5000 0.2143
Cd 0.0000 0.0000 0.4662
Se 0.5000 0.5000 0.8256

Relative energy among the computed polymorphs ... 0.030 eV per atom
Mass density ... 11.04 Mg/m³

=====

[20]
Here is crystalline TaCd2Se at its relaxed geometry from Alexandria via LeMat-Bulk. Energies are from PBE.

a b c (Å): 3.4977 4.2951 5.4469
angles (deg): 90.00 90.00 90.00
Fractional coordinates of all 4 atoms:
Ta 0.0000 0.0000 0.0000
Cd 0.5000 0.5000 0.2441
Cd 0.5000 0.5000 0.7559
Se 0.0000 0.0000 0.5000

Mass density ... 9.84 Mg/m³

=====

Which energy relative to the elements, uncorrected belongs to each record? In order, 0.68, 1.23, 0.05, 0.24, 0.23, 0.50, -0.09, 0.36, 0.93, 0.31, 0.37, 0.29, 0.50, 0.14, 2.23, 0.09, 1.19, 0.15, 0.04, 0.37 eV per atom.
Which raw total energy belongs to each record? In order, -5.12, -2.39, -4.24, -6.79, -6.80, -3.79, -4.38, -6.67, -7.07, -6.72, -3.93, -4.00, -6.53, -6.89, -5.77, -6.94, -2.43, -6.88, -6.98, -3.92 eV/atom.